Density functional theory data (PBE) for an optimized crystal structure of Sr4Ga3Ag.

Calculated values
* energy relative to the elements: -279 kJ/mol of formula units
* total DFT energy (no corrections): -2.694 eV/atom

a b c (Å): 4.7649 4.5752 11.6893
angles (deg): 90.00 90.00 90.00
Element x y z (fractional)
Sr: 0.5000 0.5000 0.3605
Sr: 0.0000 0.5000 0.8547
Sr: 0.0000 0.0000 0.1442
Sr: 0.5000 0.0000 0.6419
Ag: 0.5000 0.5000 0.0593
Ga: 0.0000 0.5000 0.5613
Ga: 0.0000 0.0000 0.4387
Ga: 0.5000 0.0000 0.9395